No. 1
5
Lattice="-1.423 4.981 -0.498 -4.121 -0.871 3.057 2.752 1.191 4.048" Properties=species:S:1:pos:R:3 comment="BeNiTeI2 (PBE-GGA, optimized geometry)" formation_energy_uncorrected_kj_per_mol_fu=371.2 magmom_total_mub_per_fu=1.3 density_g_cm3=5.465 dft_energy_ev_per_atom=-2.380 sg="P4/mmm, No. 123" pbc="T T T"
I -2.060 -0.436 1.529
Ni -1.396 2.651 3.304
Te 1.376 0.595 2.024
Be 0.000 0.000 0.000
I -0.711 2.491 -0.249

***

No. 2
20
Lattice="7.129 0.000 -0.842 0.000 8.017 0.000 -0.194 0.000 13.637" Properties=species:S:1:pos:R:3 comment="PaTeCl3 (PBE-GGA, optimized geometry)" formation_energy_uncorrected_kj_per_mol_fu=-721.0 magmom_total_mub_per_fu=1.0 density_g_cm3=3.970 dft_energy_ev_per_atom=-5.130 sg="P2/c, No. 13" pbc="T T T"
Cl 1.445 3.728 10.734
Te 1.091 7.338 10.810
Cl 1.542 4.289 3.916
Cl 5.490 4.289 2.061
Cl 5.923 2.677 12.320
Pa 0.479 5.082 8.581
Te 5.844 0.679 1.985
Te 5.747 7.338 8.803
Cl 5.393 3.728 8.879
Pa 6.456 2.935 4.214
Cl 0.915 2.677 7.293
Cl 4.481 1.919 5.451
Pa 6.359 5.082 11.032
Te 1.188 0.679 3.991
Cl 1.012 5.340 0.475
Cl 2.551 1.919 0.525
Cl 4.384 6.098 12.269
Cl 6.020 5.340 5.502
Cl 2.454 6.098 7.344
Pa 0.576 2.935 1.763

***

No. 3
8
Lattice="5.326 0.000 0.000 0.000 5.326 0.000 0.000 0.000 5.326" Properties=species:S:1:pos:R:3 comment="CeYPt6 (PBE-GGA, optimized geometry)" magmom_total_mub_per_fu=0.0 density_g_cm3=15.381 e_form_kj_per_mol_atoms=-70 dft_energy_ev_per_atom=-6.803 sg="Pm-3, No. 200" pbc="T T T"
Pt 0.000 2.663 1.328
Pt 1.328 0.000 2.663
Pt 3.998 0.000 2.663
Pt 2.663 3.998 0.000
Pt 2.663 1.328 0.000
Pt 0.000 2.663 3.998
Y 2.663 2.663 2.663
Ce 0.000 0.000 0.000

***

No. 4
8
Lattice="-2.747 -2.092 1.167 0.716 -3.117 1.745 -0.458 6.452 14.521" Properties=species:S:1:pos:R:3 comment="KMgBe2 (PBE-GGA, optimized geometry)" magmom_total_mub_per_fu=0.0 density_g_cm3=1.482 e_form_kj_per_mol_atoms=26 dft_energy_ev_per_atom=-2.266 sg="P1, No. 1" pbc="T T T"
K -1.465 3.398 15.540
Mg -0.760 3.560 11.726
Be -2.112 -1.199 11.372
K -0.060 1.177 3.348
Be -1.434 0.063 9.555
Mg -0.755 0.998 7.141
Be -0.759 2.274 9.434
Be -1.436 1.014 11.255

***

No. 5
10
Lattice="-5.502 0.719 1.122 -1.237 -5.643 -2.454 1.559 -1.310 8.493" Properties=species:S:1:pos:R:3 comment="YHo3Sb (PBE-GGA, optimized geometry)" formation_energy_uncorrected_kj_per_mol_fu=-171.2 magmom_total_mub_per_fu=0.0 density_g_cm3=7.865 dft_energy_ev_per_atom=-5.219 sg="P2_1/m, No. 11" pbc="T T T"
Y -2.041 -2.956 5.475
Ho -2.556 -1.629 2.095
Ho -5.785 -1.349 0.362
Sb -3.285 -3.396 -0.349
Ho -2.467 -6.423 5.602
Ho -5.272 -2.699 3.744
Ho -4.459 -0.501 6.324
Y -6.212 -4.816 0.490
Ho -2.980 -5.074 2.222
Sb -4.967 -4.376 6.313

***

No. 6
32
Lattice="-4.417 4.587 -1.113 -0.212 -1.777 6.212 7.100 7.410 2.362" Properties=species:S:1:pos:R:3 comment="MgAlCu6 (PBE-GGA, optimized geometry)" magmom_total_mub_per_fu=0.0 density_g_cm3=6.937 e_form_kj_per_mol_atoms=-12 dft_energy_ev_per_atom=-3.868 sg="Cmmm, No. 65" pbc="T T T"
Al 0.208 6.664 1.942
Cu 0.296 0.846 2.454
Cu 1.913 8.533 2.459
Cu 2.174 9.374 5.007
Cu 1.235 5.110 3.731
Cu -2.072 2.282 5.061
Al 1.779 1.857 0.592
Cu -1.567 4.901 1.302
Cu 0.557 1.687 5.002
Mg -0.535 3.263 3.142
Cu -1.346 5.722 3.817
Cu 3.816 4.498 3.644
Al 2.262 3.556 5.519
Cu 4.037 5.319 6.159
Cu -3.112 3.857 3.248
Cu 2.076 2.683 3.065
Cu 5.582 6.363 4.213
Cu -2.315 1.405 2.549
Cu 3.215 7.800 6.820
Cu -0.745 2.420 0.641
Cu 3.550 3.705 1.181
Cu 0.000 0.000 0.000
Al 5.320 5.553 1.770
Mg 3.005 6.957 4.319
Mg -1.281 -0.159 4.350
Mg -3.349 2.970 0.749
Cu 4.541 7.938 2.400
Cu 1.015 4.288 1.217
Cu 0.394 7.537 4.396
Cu 2.755 6.104 1.796
Cu 1.455 5.932 6.244
Cu -0.285 4.116 5.665

***

No. 7
8
Lattice="4.674 0.000 0.000 2.337 4.048 0.000 2.337 1.349 7.414" Properties=species:S:1:pos:R:3 comment="ErGaCu2Au4 (PBE-GGA, optimized geometry)" magmom_total_mub_per_fu=0.0 density_g_cm3=13.639 e_form_kj_per_mol_atoms=-31 dft_energy_ev_per_atom=-3.934 sg="R-3m, No. 166" pbc="T T T"
Au 2.337 1.349 4.451
Cu 2.337 1.349 1.658
Ga 4.674 2.698 3.707
Cu 7.011 4.048 5.756
Er 0.000 0.000 0.000
Au 4.674 2.698 1.141
Au 4.674 2.698 6.273
Au 7.011 4.048 2.963

***

No. 8
12
Lattice="4.615 0.000 0.000 0.000 4.615 0.000 0.000 0.000 14.592" Properties=species:S:1:pos:R:3 comment="Tm2MgSn9 (PBE-GGA, optimized geometry)" magmom_total_mub_per_fu=0.0 density_g_cm3=7.644 e_form_kj_per_mol_atoms=-25 dft_energy_ev_per_atom=-4.137 sg="P4/mmm, No. 123" pbc="T T T"
Sn 0.000 2.307 7.296
Sn 2.307 2.307 4.820
Tm 0.000 0.000 4.947
Sn 2.307 2.307 0.000
Sn 2.307 0.000 12.176
Sn 2.307 0.000 7.296
Sn 2.307 0.000 2.416
Sn 0.000 2.307 2.416
Tm 0.000 0.000 9.646
Sn 2.307 2.307 9.772
Mg 0.000 0.000 0.000
Sn 0.000 2.307 12.176